No. 1
Computed, not measured: crystalline ErThInRh at its relaxed geometry at the PBE level of DFT.

Output
VASP energy: -5.949 eV per atom
Crystal system: cubic
Space group: F-43m (216)
Calculated volume: 98.3 Å³/cell

```
4
Lattice="5.181 0.000 0.000 2.591 4.487 0.000 2.591 1.496 4.230" Properties=species:S:1:pos:R:3 pbc="T T T"
Er 7.772 4.487 3.173
Th 2.591 1.496 1.058
Rh 0.000 0.000 0.000
In 5.181 2.991 2.115
```



No. 2
Computed, not measured: crystalline Er2Ti2InRh5 at its relaxed geometry at the PBE level of DFT.

Output
VASP energy: -7.083 eV per atom
Crystal system: tetragonal
Space group: P4/mbm (127)
Calculated volume: 359.9 Å³/cell

```
20
Lattice="3.635 0.000 0.000 0.000 9.950 0.000 0.000 0.000 9.950" Properties=species:S:1:pos:R:3 pbc="T T T"
Rh 1.817 5.636 7.077
Rh 1.817 2.102 0.661
Rh 1.817 4.314 2.873
Rh 1.817 2.873 5.636
Rh 1.817 9.289 2.102
Rh 1.817 0.661 7.848
Rh 1.817 4.975 0.000
Rh 1.817 7.848 9.289
Rh 1.817 7.077 4.314
Rh 1.817 0.000 4.975
Ti 0.000 3.792 1.183
Ti 0.000 1.183 6.158
Ti 0.000 8.767 3.792
Ti 0.000 6.158 8.767
Er 0.000 8.157 6.768
Er 0.000 6.768 1.793
Er 0.000 3.182 8.157
Er 0.000 1.793 3.182
In 0.000 0.000 0.000
In 0.000 4.975 4.975
```



No. 3
Computed, not measured: crystalline ErTmInRh at its relaxed geometry at the PBE level of DFT.

Output
Energy above the most stable polymorph in this dataset: 121.0 meV per atom
VASP energy: -5.374 eV per atom
Crystal system: cubic
Space group: F-43m (216)
Calculated volume: 90.5 Å³/cell

```
4
Lattice="-1.990 -4.434 1.330 2.939 -3.594 1.959 -0.415 -1.216 4.873" Properties=species:S:1:pos:R:3 pbc="T T T"
Tm 0.134 -2.311 2.040
Rh 0.267 -4.622 4.081
In 0.000 0.000 0.000
Er 0.401 -6.933 6.121
```



No. 4
Computed, not measured: crystalline ErTmInRh at its relaxed geometry at the PBE level of DFT.

Output
Energy above the most stable polymorph in this dataset: 0.0 meV per atom
VASP energy: -5.495 eV per atom
Crystal system: tetragonal
Space group: P4mm (99)
Calculated volume: 90.8 Å³/cell

```
4
Lattice="-2.276 -0.365 2.624 2.420 -1.693 1.864 2.296 6.466 2.890" Properties=species:S:1:pos:R:3 pbc="T T T"
Tm 1.881 4.064 4.520
In 0.159 0.448 0.200
Er 0.885 1.260 3.267
Rh 1.318 3.710 1.659
```



No. 5
Computed, not measured: crystalline Er2Zn2InRh5 at its relaxed geometry at the PBE level of DFT.

Output
VASP energy: -5.738 eV per atom
Crystal system: tetragonal
Space group: P4/mbm (127)
Calculated volume: 341.9 Å³/cell

```
20
Lattice="-2.288 1.100 -2.671 1.022 -8.517 -4.383 -7.480 -3.463 4.984" Properties=species:S:1:pos:R:3 pbc="T T T"
Er -2.263 -2.610 0.864
Er -4.195 -9.370 -0.263
Er -0.611 -6.340 -2.087
Er -5.847 -5.640 2.688
Rh -7.276 -9.431 -0.191
Rh -2.909 -4.118 -1.745
Rh -1.733 -8.068 -4.380
Rh -1.470 -1.449 -1.879
Rh -7.014 -2.812 2.310
Rh -3.627 -6.943 -2.293
Rh -0.633 -3.708 -3.527
Rh -5.838 -6.762 -0.324
Rh -4.884 -1.182 1.157
Rh -5.120 -3.937 0.223
Zn -4.539 -3.213 2.566
Zn -5.918 -8.346 1.634
Zn -0.540 -3.633 -1.033
Zn -1.919 -8.766 -1.966
In -3.229 -5.990 0.300
In 0.000 0.000 0.000
```



No. 6
Computed, not measured: crystalline ErZnInRh at its relaxed geometry at the PBE level of DFT.

Output
VASP energy: -4.464 eV per atom
Crystal system: cubic
Space group: F-43m (216)
Calculated volume: 75.9 Å³/cell

```
4
Lattice="4.753 0.000 0.000 2.377 4.116 0.000 2.377 1.372 3.881" Properties=species:S:1:pos:R:3 pbc="T T T"
Zn 0.000 0.000 0.000
Er 7.130 4.116 2.911
Rh 4.753 2.744 1.940
In 2.377 1.372 0.970
```



No. 7
Computed, not measured: crystalline ErInRu4 at its relaxed geometry at the PBE level of DFT.

Output
VASP energy: -7.468 eV per atom
Crystal system: cubic
Space group: F-43m (216)
Calculated volume: 102.8 Å³/cell

```
6
Lattice="5.259 0.000 0.000 2.629 4.554 0.000 2.629 1.518 4.294" Properties=species:S:1:pos:R:3 pbc="T T T"
Ru 6.579 3.798 2.686
Ru 5.259 3.036 0.531
Ru 5.259 1.512 2.686
Ru 3.939 3.798 2.686
In 0.000 0.000 0.000
Er 2.629 1.518 1.073
```



No. 8
Computed, not measured: crystalline ErInRu at its relaxed geometry at the PBE level of DFT.

Output
VASP energy: -5.721 eV per atom
Crystal system: hexagonal
Space group: P-6m2 (187)
Calculated volume: 64.5 Å³/cell

```
3
Lattice="3.477 0.000 0.000 0.000 4.626 0.000 0.000 -2.313 4.006" Properties=species:S:1:pos:R:3 pbc="T T T"
Er 2.317 2.313 1.335
In 0.578 0.000 0.000
Ru 0.581 0.000 2.671
```



No. 9
Computed, not measured: crystalline Er6InRu2 at its relaxed geometry at the PBE level of DFT.

Output
VASP energy: -5.812 eV per atom
Crystal system: orthorhombic
Space group: Immm (71)
Calculated volume: 455.1 Å³/cell

```
18
Lattice="8.414 -0.061 -0.269 -3.244 7.763 0.269 -2.997 -3.574 7.008" Properties=species:S:1:pos:R:3 pbc="T T T"
Er 2.560 3.868 3.872
Er -0.311 2.568 5.776
Er -2.558 5.204 4.863
Er 5.799 1.694 0.096
Er 2.483 1.560 1.232
Er -0.388 0.260 3.136
Er -3.626 2.434 6.912
Er -0.457 3.793 2.413
Er 2.629 0.335 4.594
Er 4.730 -1.076 2.144
Er -2.494 -0.685 5.776
Er 4.667 4.813 1.232
Ru 0.401 -0.269 6.059
Ru 3.659 -2.456 4.552
Ru 1.771 4.397 0.949
Ru 1.757 -1.179 2.186
In 0.000 0.000 0.000
In -3.121 2.095 3.638
```



No. 10
Computed, not measured: crystalline Er7InRu4 at its relaxed geometry at the PBE level of DFT.

Output
VASP energy: -6.106 eV per atom
Crystal system: monoclinic
Space group: C2/m (12)
Calculated volume: 283.4 Å³/cell

```
12
Lattice="-3.358 -3.214 -2.841 4.182 -3.522 -6.182 0.575 -6.973 1.986" Properties=species:S:1:pos:R:3 pbc="T T T"
Ru 0.921 -11.177 -4.113
Ru 0.477 -2.531 -2.923
Ru 1.989 -6.596 -5.334
Ru -0.590 -7.112 -1.703
In 0.000 0.000 0.000
Er -0.586 -5.373 -3.675
Er -1.679 -1.607 -1.420
Er -1.099 -9.695 -3.402
Er 0.048 -4.240 -0.483
Er 2.497 -4.013 -3.635
Er 1.985 -8.336 -3.362
Er 1.350 -9.468 -6.553
```



No. 11
Computed, not measured: crystalline Er4InRu at its relaxed geometry at the PBE level of DFT.

Output
Energy above the most stable polymorph in this dataset: 191.4 meV per atom
VASP energy: -5.269 eV per atom
Crystal system: monoclinic
Space group: C2/m (12)
Calculated volume: 172.3 Å³/cell

```
6
Lattice="-3.757 -1.764 2.754 -3.118 -3.393 -1.922 2.428 -7.584 2.959" Properties=species:S:1:pos:R:3 pbc="T T T"
Er 0.828 -5.592 2.053
Er -5.275 -7.149 1.739
Er -4.140 -3.991 0.806
Er -0.307 -8.751 2.986
Ru 0.000 0.000 0.000
In -2.224 -6.371 1.896
```



No. 12
Computed, not measured: crystalline ErInRu at its relaxed geometry at the PBE level of DFT.

Output
VASP energy: -5.704 eV per atom
Crystal system: monoclinic
Space group: C2/c (15)
Calculated volume: 279.0 Å³/cell

```
12
Lattice="6.555 0.097 0.002 -0.103 6.555 0.011 -3.216 -3.323 6.484" Properties=species:S:1:pos:R:3 pbc="T T T"
Ru -1.348 -1.895 6.485
Ru 1.824 4.706 3.252
Ru -1.415 1.366 3.249
Ru 5.081 4.741 0.011
Er 0.200 3.036 1.557
Er 0.253 -0.241 1.693
Er 0.206 3.038 4.944
Er 3.483 3.085 4.803
In 3.531 -0.193 4.856
In 3.477 3.080 1.616
In 3.531 -0.189 1.637
In 0.261 -0.238 4.881
```



No. 13
Computed, not measured: crystalline Er6InRu5 at its relaxed geometry at the PBE level of DFT.

Output
VASP energy: -6.792 eV per atom
Crystal system: orthorhombic
Space group: Cmmm (65)
Calculated volume: 241.3 Å³/cell

```
12
Lattice="4.725 0.002 -0.988 -0.003 6.912 -0.001 -0.883 0.000 7.573" Properties=species:S:1:pos:R:3 pbc="T T T"
Er 2.360 5.056 -0.494
Er 3.328 1.773 4.130
Er 0.511 5.142 2.454
Er 1.479 1.858 7.079
Er 0.512 1.771 2.455
Er 3.326 5.143 4.130
Ru -0.001 3.456 0.000
Ru 0.985 3.457 4.721
Ru 2.853 3.458 1.863
Ru 1.000 0.001 4.780
Ru 2.842 0.001 1.805
In 0.000 0.000 0.000
```



No. 14
Computed, not measured: crystalline ErIn3Ru at its relaxed geometry at the PBE level of DFT.

Output
Energy above the most stable polymorph in this dataset: 0.0 meV per atom
VASP energy: -4.708 eV per atom
Crystal system: cubic
Space group: Pm-3m (221)
Calculated volume: 321.1 Å³/cell

```
15
Lattice="6.848 0.000 0.000 0.000 6.848 0.000 0.000 0.000 6.848" Properties=species:S:1:pos:R:3 pbc="T T T"
In 5.338 1.509 5.338
In 3.424 3.424 3.424
In 5.338 5.338 5.338
In 1.509 1.509 1.509
In 5.338 1.509 1.509
In 1.509 1.509 5.338
In 5.338 5.338 1.509
In 1.509 5.338 1.509
In 1.509 5.338 5.338
Ru 0.000 0.000 3.424
Ru 0.000 3.424 0.000
Ru 3.424 0.000 0.000
Er 3.424 0.000 3.424
Er 0.000 3.424 3.424
Er 3.424 3.424 0.000
```



No. 15
Computed, not measured: crystalline Er5In2Ru at its relaxed geometry at the PBE level of DFT.

Output
Energy above the most stable polymorph in this dataset: 150.4 meV per atom
VASP energy: -4.939 eV per atom
Crystal system: tetragonal
Space group: I4mm (107)
Calculated volume: 214.8 Å³/cell

```
8
Lattice="-3.315 -0.892 6.089 6.054 -1.698 3.053 -0.684 5.522 -3.578" Properties=species:S:1:pos:R:3 pbc="T T T"
Er 1.341 3.500 3.209
Er 1.729 0.923 5.092
Er 2.963 3.934 0.227
Er 0.000 4.768 -1.267
Er -1.623 4.329 1.713
Ru 0.133 0.819 0.192
In 3.344 1.104 1.985
In -1.341 1.507 3.503
```



No. 16
Computed, not measured: crystalline Er4In2Ru at its relaxed geometry at the PBE level of DFT.

Output
VASP energy: -4.992 eV per atom
Crystal system: monoclinic
Space group: P2/m (10)
Calculated volume: 192.7 Å³/cell

```
7
Lattice="-0.503 -1.139 -3.239 3.428 -8.096 2.314 -8.188 4.217 -0.212" Properties=species:S:1:pos:R:3 pbc="T T T"
Er -2.692 -0.934 -1.113
Er -5.377 -1.701 1.432
Er -3.251 -4.638 0.276
Er -0.064 -2.732 0.970
Ru -0.340 -0.277 0.150
In -0.166 -5.924 0.250
In -5.778 0.353 -1.086
```



No. 17
Computed, not measured: crystalline Er5InRu4 at its relaxed geometry at the PBE level of DFT.

Output
VASP energy: -6.708 eV per atom
Crystal system: tetragonal
Space group: P4/mmm (123)
Calculated volume: 206.0 Å³/cell

```
10
Lattice="3.397 0.000 0.000 0.000 3.397 0.000 0.000 0.000 17.857" Properties=species:S:1:pos:R:3 pbc="T T T"
Er 1.698 1.698 15.579
Er 1.698 1.698 2.278
Er 1.698 1.698 12.260
Er 1.698 1.698 8.928
Er 1.698 1.698 5.597
Ru 0.000 0.000 7.235
Ru 0.000 0.000 14.035
Ru 0.000 0.000 3.821
Ru 0.000 0.000 10.622
In 0.000 0.000 0.000
```



No. 18
Computed, not measured: crystalline Er4InRu at its relaxed geometry at the PBE level of DFT.

Output
Energy above the most stable polymorph in this dataset: 0.0 meV per atom
VASP energy: -5.461 eV per atom
Crystal system: cubic
Space group: F-43m (216)
Calculated volume: 616.1 Å³/cell

```
24
Lattice="8.272 0.000 4.776 2.757 7.799 4.776 0.000 0.000 9.551" Properties=species:S:1:pos:R:3 pbc="T T T"
Ru 6.735 4.762 11.665
Ru 3.074 4.762 9.551
Ru 6.735 4.762 7.437
Ru 5.514 1.310 9.551
Er 2.107 1.490 9.551
Er 9.327 4.356 16.155
Er 9.327 4.356 12.499
Er 3.811 6.309 6.600
Er 5.514 6.185 9.551
Er 4.437 3.137 7.685
Er 8.922 6.309 9.551
Er 10.382 7.341 14.327
Er 7.218 1.490 12.502
Er 7.669 3.137 9.551
Er 3.811 6.309 12.502
Er 6.161 4.356 14.327
Er 7.216 7.341 16.155
Er 4.437 3.137 11.418
Er 7.218 1.490 6.600
Er 7.216 7.341 12.499
In 4.580 1.305 4.776
In 2.757 3.882 4.776
In 1.846 1.305 6.354
In 1.846 1.305 3.197
```



No. 19
Computed, not measured: crystalline Er5In4Ru at its relaxed geometry at the PBE level of DFT.

Output
VASP energy: -4.780 eV per atom
Crystal system: tetragonal
Space group: P4/mmm (123)
Calculated volume: 246.5 Å³/cell

```
10
Lattice="-2.309 0.745 -2.408 -0.584 -3.335 -0.471 -15.127 0.576 14.683" Properties=species:S:1:pos:R:3 pbc="T T T"
Er -15.404 -0.764 12.108
Er -5.871 -1.127 2.855
Er -12.150 -0.888 8.949
Er -9.010 -1.007 5.902
Er -2.617 -1.251 -0.304
Ru 0.000 0.000 0.000
In -5.995 0.228 5.819
In -9.132 0.348 8.864
In -12.278 0.467 11.918
In -2.849 0.108 2.765
```



No. 20
Computed, not measured: crystalline Er5InRu at its relaxed geometry at the PBE level of DFT.

Output
VASP energy: -5.148 eV per atom
Crystal system: monoclinic
Space group: C2/c (15)
Calculated volume: 380.3 Å³/cell

```
14
Lattice="5.858 -0.363 -0.023 1.515 5.671 -0.023 2.711 1.952 11.245" Properties=species:S:1:pos:R:3 pbc="T T T"
Er 3.675 1.098 0.719
Er 3.481 4.036 9.847
Er 3.563 4.112 6.342
Er 3.576 1.045 4.225
Er 6.409 6.161 10.479
Er 6.508 6.215 6.974
Er 6.521 3.148 4.857
Er 3.589 7.077 8.410
Er 6.603 3.224 1.352
Er 6.495 0.182 2.788
In 3.930 3.745 2.788
In 6.154 3.514 8.410
Ru 0.000 0.000 0.000
Ru 1.355 0.976 5.622
```